*w*
# MgSbI2O (GGA-PBE, relaxed)
# Calculated density = 3958 kg/m3
# DOS(E_F) = 8.3 states/eV per cell
# Crystal system = tetragonal
# Magnetization = 0.091 μB/atom
data_MgSbI2O
_chemical_formula_sum 'Mg1 Sb1 I2 O1'
_symmetry_space_group_name_H-M 'P 1'
_symmetry_Int_Tables_number 1
_cell_length_a 5.530
_cell_length_b 5.530
_cell_length_c 5.705
_cell_angle_alpha 90.00
_cell_angle_beta 90.00
_cell_angle_gamma 90.00
loop_
_symmetry_equiv_pos_as_xyz
'x,y,z'
loop_
_atom_site_label
_atom_site_type_symbol
_atom_site_fract_x
_atom_site_fract_y
_atom_site_fract_z
I1 I 0.500 0.000 0.000
I2 I 0.000 0.500 0.000
O1 O 0.500 0.500 0.500
Mg1 Mg 0.000 0.000 0.000
Sb1 Sb 0.000 0.000 0.500



*x*
# MgSbI2O (GGA-PBE, relaxed)
# Calculated density = 4389 kg/m3
# DOS(E_F) = 2.7 states/eV per cell
# Crystal system = tetragonal
# Magnetization = 0.051 μB/atom
data_MgSbI2O
_chemical_formula_sum 'Mg1 Sb1 I2 O1'
_symmetry_space_group_name_H-M 'P 1'
_symmetry_Int_Tables_number 1
_cell_length_a 6.185
_cell_length_b 6.185
_cell_length_c 4.113
_cell_angle_alpha 90.00
_cell_angle_beta 90.00
_cell_angle_gamma 90.00
loop_
_symmetry_equiv_pos_as_xyz
'x,y,z'
loop_
_atom_site_label
_atom_site_type_symbol
_atom_site_fract_x
_atom_site_fract_y
_atom_site_fract_z
Sb1 Sb 0.000 0.000 0.000
Mg1 Mg 0.500 0.500 0.500
I1 I 0.500 0.000 0.000
O1 O 0.000 0.000 0.500
I2 I 0.000 0.500 0.000



*y*
# MgSbI2O (GGA-PBE, relaxed)
# Calculated density = 5387 kg/m3
# DOS(E_F) = 4.2 states/eV per cell
# Crystal system = tetragonal
# Magnetization = 0.000 μB/atom
data_MgSbI2O
_chemical_formula_sum 'Mg1 Sb1 I2 O1'
_symmetry_space_group_name_H-M 'P 1'
_symmetry_Int_Tables_number 1
_cell_length_a 5.276
_cell_length_b 5.276
_cell_length_c 4.605
_cell_angle_alpha 90.00
_cell_angle_beta 90.00
_cell_angle_gamma 90.00
loop_
_symmetry_equiv_pos_as_xyz
'x,y,z'
loop_
_atom_site_label
_atom_site_type_symbol
_atom_site_fract_x
_atom_site_fract_y
_atom_site_fract_z
Mg1 Mg 0.500 0.500 0.500
I1 I 0.000 0.500 0.000
Sb1 Sb 0.000 0.000 0.500
O1 O 0.000 0.000 0.000
I2 I 0.500 0.000 0.000



*z*
# MgSbI2O (GGA-PBE, relaxed)
# Calculated density = 5313 kg/m3
# DOS(E_F) = 5.7 states/eV per cell
# Crystal system = tetragonal
# Magnetization = 0.000 μB/atom
data_MgSbI2O
_chemical_formula_sum 'Mg1 Sb1 I2 O1'
_symmetry_space_group_name_H-M 'P 1'
_symmetry_Int_Tables_number 1
_cell_length_a 5.878
_cell_length_b 5.878
_cell_length_c 3.762
_cell_angle_alpha 90.00
_cell_angle_beta 90.00
_cell_angle_gamma 90.00
loop_
_symmetry_equiv_pos_as_xyz
'x,y,z'
loop_
_atom_site_label
_atom_site_type_symbol
_atom_site_fract_x
_atom_site_fract_y
_atom_site_fract_z
Sb1 Sb 0.500 0.500 0.500
Mg1 Mg 0.000 0.000 0.000
O1 O 0.000 0.000 0.500
I1 I 0.500 0.000 0.000
I2 I 0.000 0.500 0.000



So which one is most stable? That would be *z*, about 124 meV/atom below the next structure.



*w*
# MgScI2O (GGA-PBE, relaxed)
# Calculated density = 4572 kg/m3
# DOS(E_F) = 2.5 states/eV per cell
# Crystal system = tetragonal
# Magnetization = 0.000 μB/atom
data_MgScI2O
_chemical_formula_sum 'Mg1 Sc1 I2 O1'
_symmetry_space_group_name_H-M 'P 1'
_symmetry_Int_Tables_number 1
_cell_length_a 5.746
_cell_length_b 5.746
_cell_length_c 3.729
_cell_angle_alpha 90.00
_cell_angle_beta 90.00
_cell_angle_gamma 90.00
loop_
_symmetry_equiv_pos_as_xyz
'x,y,z'
loop_
_atom_site_label
_atom_site_type_symbol
_atom_site_fract_x
_atom_site_fract_y
_atom_site_fract_z
O1 O 0.000 0.000 0.500
Mg1 Mg 0.000 0.000 0.000
Sc1 Sc 0.500 0.500 0.500
I1 I 0.500 0.000 0.000
I2 I 0.000 0.500 0.000



*x*
# MgScI2O (GGA-PBE, relaxed)
# Calculated density = 4032 kg/m3
# DOS(E_F) = 2.1 states/eV per cell
# Crystal system = tetragonal
# Magnetization = 0.000 μB/atom
data_MgScI2O
_chemical_formula_sum 'Mg1 Sc1 I2 O1'
_symmetry_space_group_name_H-M 'P 1'
_symmetry_Int_Tables_number 1
_cell_length_a 5.985
_cell_length_b 5.985
_cell_length_c 3.898
_cell_angle_alpha 90.00
_cell_angle_beta 90.00
_cell_angle_gamma 90.00
loop_
_symmetry_equiv_pos_as_xyz
'x,y,z'
loop_
_atom_site_label
_atom_site_type_symbol
_atom_site_fract_x
_atom_site_fract_y
_atom_site_fract_z
O1 O 0.000 0.000 0.500
Mg1 Mg 0.500 0.500 0.500
I1 I 0.500 0.000 0.000
Sc1 Sc 0.000 0.000 0.000
I2 I 0.000 0.500 0.000



So which one is most stable? That would be *x*, about 446 meV/atom below the next structure.



*w*
# MgSiI2O (GGA-PBE, relaxed)
# Calculated density = 4306 kg/m3
# DOS(E_F) = 3.0 states/eV per cell
# Crystal system = tetragonal
# Magnetization = 0.000 μB/atom
data_MgSiI2O
_chemical_formula_sum 'Mg1 Si1 I2 O1'
_symmetry_space_group_name_H-M 'P 1'
_symmetry_Int_Tables_number 1
_cell_length_a 5.748
_cell_length_b 5.748
_cell_length_c 3.761
_cell_angle_alpha 90.00
_cell_angle_beta 90.00
_cell_angle_gamma 90.00
loop_
_symmetry_equiv_pos_as_xyz
'x,y,z'
loop_
_atom_site_label
_atom_site_type_symbol
_atom_site_fract_x
_atom_site_fract_y
_atom_site_fract_z
Si1 Si 0.500 0.500 0.500
Mg1 Mg 0.000 0.000 0.000
I1 I 0.500 0.000 0.000
I2 I 0.000 0.500 0.000
O1 O 0.000 0.000 0.500



*x*
# MgSiI2O (GGA-PBE, relaxed)
# Calculated density = 4469 kg/m3
# DOS(E_F) = 1.8 states/eV per cell
# Crystal system = tetragonal
# Magnetization = 0.000 μB/atom
data_MgSiI2O
_chemical_formula_sum 'Mg1 Si1 I2 O1'
_symmetry_space_group_name_H-M 'P 1'
_symmetry_Int_Tables_number 1
_cell_length_a 5.771
_cell_length_b 5.771
_cell_length_c 3.594
_cell_angle_alpha 90.00
_cell_angle_beta 90.00
_cell_angle_gamma 90.00
loop_
_symmetry_equiv_pos_as_xyz
'x,y,z'
loop_
_atom_site_label
_atom_site_type_symbol
_atom_site_fract_x
_atom_site_fract_y
_atom_site_fract_z
O1 O 0.000 0.000 0.500
Mg1 Mg 0.500 0.500 0.500
Si1 Si 0.000 0.000 0.000
I1 I 0.000 0.500 0.000
I2 I 0.500 0.000 0.000



So which one is most stable? That would be *x*, about 238 meV/atom below the next structure.



*w*
# MgSnIO2 (GGA-PBE, relaxed)
# Calculated density = 4981 kg/m3
# DOS(E_F) = 0.5 states/eV per cell
# Crystal system = tetragonal
# Magnetization = 0.200 μB/atom
data_MgSnIO2
_chemical_formula_sum 'Mg1 Sn1 I1 O2'
_symmetry_space_group_name_H-M 'P 1'
_symmetry_Int_Tables_number 1
_cell_length_a 4.255
_cell_length_b 4.255
_cell_length_c 5.559
_cell_angle_alpha 90.00
_cell_angle_beta 90.00
_cell_angle_gamma 90.00
loop_
_symmetry_equiv_pos_as_xyz
'x,y,z'
loop_
_atom_site_label
_atom_site_type_symbol
_atom_site_fract_x
_atom_site_fract_y
_atom_site_fract_z
I1 I 0.000 0.000 0.500
Mg1 Mg 0.000 0.000 0.000
Sn1 Sn 0.500 0.500 0.500
O1 O 0.000 0.500 0.000
O2 O 0.500 0.000 0.000



*x*
# MgSnIO2 (GGA-PBE, relaxed)
# Calculated density = 4591 kg/m3
# DOS(E_F) = 1.0 states/eV per cell
# Crystal system = tetragonal
# Magnetization = 0.000 μB/atom
data_MgSnIO2
_chemical_formula_sum 'Mg1 Sn1 I1 O2'
_symmetry_space_group_name_H-M 'P 1'
_symmetry_Int_Tables_number 1
_cell_length_a 4.120
_cell_length_b 4.120
_cell_length_c 6.431
_cell_angle_alpha 90.00
_cell_angle_beta 90.00
_cell_angle_gamma 90.00
loop_
_symmetry_equiv_pos_as_xyz
'x,y,z'
loop_
_atom_site_label
_atom_site_type_symbol
_atom_site_fract_x
_atom_site_fract_y
_atom_site_fract_z
I1 I 0.000 0.000 0.500
Mg1 Mg 0.500 0.500 0.500
O1 O 0.500 0.000 0.000
Sn1 Sn 0.000 0.000 0.000
O2 O 0.000 0.500 0.000



So which one is most stable? That would be *x*, about 94 meV/atom below the next structure.